(1)
Compound: V2Ni4Rh
Source: the Alexandria database
Functional: PBE
Structure: optimized geometry

```
V2Ni4Rh
1.0
-2.2541 2.2541 5.6853
2.2541 -2.2541 5.6853
2.2541 2.2541 -5.6853
V Ni Rh
2 4 1
Cartesian
0.0000 0.0000 1.0907
0.0000 0.0000 10.2799
2.2541 0.0000 0.0000
0.0000 0.0000 3.2699
0.0000 2.2541 0.0000
0.0000 0.0000 8.1006
0.0000 0.0000 5.6853
```

symmetry	I4/mmm, No. 139
E above lowest polymorph	1197.4	meV/atom
DFT total energy	-5.9247	eV/atom
energy relative to the elements	1034	meV/atom

---

(2)
Compound: CuRu
Source: the Alexandria database
Functional: PBE
Structure: optimized geometry

```
CuRu
1.0
4.9217 -1.3536 0.0000
4.9217 1.3536 0.0000
-1.5445 0.0000 5.9406
Cu Ru
3 3
Cartesian
0.0000 0.0000 0.0000
-0.4432 0.0000 3.5923
5.8947 0.0000 1.9804
2.2378 0.0000 3.9436
3.2284 0.0000 1.5949
5.6726 0.0000 5.5656
```

symmetry	Cm, No. 8
DFT total energy	-6.4447	eV/atom
energy relative to the elements	241	meV/atom

---

(3)
Compound: TiCu2F2
Source: the Alexandria database
Functional: PBE
Structure: optimized geometry

```
TiCu2F2
1.0
5.1616 0.0000 0.0000
0.0000 5.1616 0.0000
0.0000 0.0000 5.3265
Ti Cu F
2 4 4
Cartesian
0.0000 0.0000 0.0000
2.5808 2.5808 0.0000
0.9818 1.5990 2.6633
1.5990 4.1799 2.6633
3.5626 0.9818 2.6633
4.1799 3.5626 2.6633
0.8651 1.7158 0.0000
1.7158 4.2966 0.0000
3.4459 0.8651 0.0000
4.2966 3.4459 0.0000
```

raw formation energy	-1234	meV per atom
symmetry	P4/mbm, No. 127
E above lowest polymorph	0.0	meV/atom
DFT total energy	-5.2004	eV/atom

---

(4)
Compound: Cr2InSb
Source: the Alexandria database
Functional: PBE
Structure: optimized geometry

```
Cr2InSb
1.0
3.3561 0.0000 0.0000
0.0000 3.6826 0.0000
-0.0229 0.0000 6.4068
Cr In Sb
2 1 1
Cartesian
-0.0040 0.0000 1.6244
3.3371 0.0000 4.7824
1.6780 1.8413 0.0000
1.6666 1.8413 3.2034
```

raw formation energy	417	meV per atom
symmetry	P2/m, No. 10
E above lowest polymorph	189.5	meV/atom
DFT total energy	-6.1102	eV/atom

---

(5)
Compound: RbCu2Ag2
Source: the Alexandria database
Functional: PBE
Structure: optimized geometry

```
RbCu2Ag2
1.0
-2.2457 2.2457 5.5162
2.2457 -2.2457 5.5162
2.2457 2.2457 -5.5162
Rb Cu Ag
1 2 2
Cartesian
0.0000 0.0000 0.0000
0.0000 0.0000 4.2614
0.0000 0.0000 6.7709
2.2457 0.0000 2.7581
0.0000 2.2457 2.7581
```

symmetry	I4/mmm, No. 139
E above lowest polymorph	13.1	meV/atom
DFT total energy	-2.6690	eV/atom
energy relative to the elements	303	meV/atom

---

(6)
Compound: Pa2GeRu6C
Source: the Alexandria database
Functional: PBE
Structure: optimized geometry

```
Pa2GeRu6C
1.0
4.4067 0.0000 0.0000
0.0000 4.4067 0.0000
0.0000 0.0000 8.5608
Pa Ge Ru C
2 1 6 1
Cartesian
0.0000 0.0000 2.0977
0.0000 0.0000 6.4631
2.2034 2.2034 4.2804
0.0000 2.2034 0.0000
0.0000 2.2034 4.2804
2.2034 0.0000 0.0000
2.2034 0.0000 4.2804
2.2034 2.2034 1.9139
2.2034 2.2034 6.6469
2.2034 2.2034 0.0000
```

symmetry	P4/mmm, No. 123
DFT total energy	-8.8947	eV/atom
energy relative to the elements	-46	meV/atom

---

(7)
Compound: Y3Co6Sn5
Source: the Alexandria database
Functional: PBE
Structure: optimized geometry

```
Y3Co6Sn5
1.0
-2.1527 4.8479 6.1820
2.1527 -4.8479 6.1820
2.1527 4.8479 -6.1820
Y Co Sn
3 6 5
Cartesian
0.0000 0.0000 0.0000
0.0000 0.0000 3.9247
0.0000 0.0000 8.4393
2.1527 -2.1973 4.8573
2.1527 2.9019 0.0000
0.0000 2.6506 1.3247
2.1527 2.1973 4.8573
0.0000 1.9460 6.1820
0.0000 7.0452 1.3247
2.1527 -1.5392 2.1988
2.1527 1.5392 2.1988
0.0000 4.8479 0.0000
0.0000 3.3087 3.9833
0.0000 6.3871 3.9833
```

symmetry	Immm, No. 71
DFT total energy	-6.2093	eV/atom
energy relative to the elements	-349	meV/atom

---

(8)
Compound: K3Pm2PbSe6
Source: the Alexandria database
Functional: PBE
Structure: optimized geometry

```
K3Pm2PbSe6
1.0
3.7484 -6.4912 0.0000
3.7484 6.4912 0.0000
-2.4967 0.0000 7.7340
K Pm Pb Se
3 2 1 6
Cartesian
0.0000 0.0000 0.0000
3.7484 2.1326 0.0000
3.7484 -2.1326 0.0000
2.5001 4.3243 3.8670
2.5001 -4.3243 3.8670
2.5001 0.0000 3.8670
1.2293 2.1985 2.2329
-0.0406 0.0000 5.4977
1.2293 -2.1985 2.2329
3.7708 2.1985 5.5011
5.0408 0.0000 2.2363
3.7708 -2.1985 5.5011
```

raw formation energy	-1388	meV per atom
symmetry	C2/m, No. 12
DFT total energy	-4.5051	eV/atom